DFT (GGA-PBE) results for a geometry-optimized CaGaOsO6 structure.

Cell and atoms, written as POSCAR:
```
CaGaOsO6
1.0
5.1778 0.0000 0.0000
-2.5889 4.4841 0.0000
0.0000 0.0000 10.0669
O Ga Ca Os
12 2 2 2
Direct
0.6233 0.6374 0.1446
0.9859 0.6233 0.8554
0.3626 0.3767 0.3554
0.3767 0.0141 0.6446
0.0141 0.3767 0.1446
0.6233 0.9859 0.3554
0.6374 0.0141 0.8554
0.0141 0.6374 0.3554
0.3626 0.9859 0.1446
0.9859 0.3626 0.6446
0.3767 0.3626 0.8554
0.6374 0.6233 0.6446
0.6667 0.3333 0.2500
0.3333 0.6667 0.7500
0.0000 0.0000 0.0000
0.0000 0.0000 0.5000
0.6667 0.3333 0.7500
0.3333 0.6667 0.2500
```

## Properties
- total moment (Bohr magnetons per cell) = 0.0
- symmetry = P-31c (163)
- E_tot (eV per cell) = -121.9
- ΔE_f (raw) (eV/atom) = -1.66